DFT (PBE) results for a relaxed structure of RbTb4NdSe8.

Calculated density: 5.31 Mg/m³
Uncorrected energy: -5.45 eV per atom

The structure in CIF format:
```
data_RbTb4NdSe8
_chemical_formula_sum 'Rb3 Tb12 Nd3 Se24'
_space_group_name_H-M_alt 'R 3 m'
_space_group_IT_number 160
_space_group_name_Hall 'R 3 -2"'
_cell_length_a 8.6553
_cell_length_b 8.6553
_cell_length_c 21.6505
_cell_angle_alpha 90.00
_cell_angle_beta 90.00
_cell_angle_gamma 120.00
loop_
_atom_site_label
_atom_site_fract_x
_atom_site_fract_y
_atom_site_fract_z
Rb1 0.0000 0.0000 0.0000
Tb1 0.0000 0.0000 0.7448
Tb2 0.0114 0.5057 0.8722
Nd1 0.0000 0.0000 0.3654
Se1 0.0000 0.0000 0.1399
Se2 0.0000 0.0000 0.6134
Se3 0.0159 0.5080 0.1241
Se4 0.1875 0.3750 0.9451
```